DFT (PBE) results for a geometry-optimized SrAcAg3 structure.

Cell lengths 14.5128, 14.5128, 4.8604 Å; angles 90.00, 90.00, 163.23 degrees
Element x y z (fractional)
Sr1 0.2041 0.7959 0.7500
Sr2 0.7959 0.2041 0.2500
Ac1 0.0715 0.9285 0.2500
Ac2 0.9285 0.0715 0.7500
Ag1 0.3286 0.6714 0.7500
Ag2 0.3813 0.6187 0.2500
Ag3 0.4771 0.5229 0.2500
Ag4 0.5229 0.4771 0.7500
Ag5 0.6187 0.3813 0.7500
Ag6 0.6714 0.3286 0.2500

## Properties
For the spin magnetization, the calculation gives 0.0 μB/f.u. The value obtained for the calculated density is 7.18 g cm⁻³. The value obtained for the formation enthalpy at 0 K is -0.293 eV per atom. Its space-group type is Cmcm. The calculation puts the energy above the lowest structure with this stoichiometry at 0.0 meV/atom.